[1]
A geometry-optimized ZrAg2 structure, computed with GGA-PBE.

```
data_ZrAg2
_cell_length_a 6.8460
_cell_length_b 6.8460
_cell_length_c 4.7740
_cell_angle_alpha 90.00
_cell_angle_beta 90.00
_cell_angle_gamma 120.00
_symmetry_space_group_name_H-M 'P 1'
_symmetry_Int_Tables_number 1
_symmetry_space_group_name_Hall 'P 1'
loop_
_atom_site_label
_atom_site_type_symbol
_atom_site_fract_x
_atom_site_fract_y
_atom_site_fract_z
Zr1 Zr 0.0000 0.0000 0.5000
Zr2 Zr 0.3333 0.6667 0.0000
Zr3 Zr 0.6667 0.3333 0.0000
Ag1 Ag 0.0000 0.2313 0.0000
Ag2 Ag 0.0000 0.4632 0.5000
Ag3 Ag 0.2313 0.0000 0.0000
Ag4 Ag 0.7687 0.7687 0.0000
Ag5 Ag 0.4632 0.0000 0.5000
Ag6 Ag 0.5368 0.5368 0.5000
```

Summary:
- spin magnetization (Bohr magnetons per cell) = 0.000
- calculated volume (Å³ per atom) = 21.5
- energy relative to the elements (eV/atom) = 0.290
- raw total energy (eV per atom) = -4.4600
- energy relative to the lowest polymorph listed for this composition (meV/atom) = 351

=====

[2]
A geometry-optimized Zr2Ag3 structure, computed with GGA-PBE.

```
data_Zr2Ag3
_cell_length_a 10.9163
_cell_length_b 3.0314
_cell_length_c 3.0314
_cell_angle_alpha 90.00
_cell_angle_beta 97.98
_cell_angle_gamma 97.98
_symmetry_space_group_name_H-M 'P 1'
_symmetry_Int_Tables_number 1
_symmetry_space_group_name_Hall 'P 1'
loop_
_atom_site_label
_atom_site_type_symbol
_atom_site_fract_x
_atom_site_fract_y
_atom_site_fract_z
Ag1 Ag 0.0059 0.0029 0.0029
Ag2 Ag 0.1941 0.5971 0.5971
Ag3 Ag 0.6000 0.8000 0.8000
Zr1 Zr 0.3990 0.1995 0.1995
Zr2 Zr 0.8010 0.4005 0.4005
```

Summary:
- spin magnetization (Bohr magnetons per cell) = 0.000
- calculated volume (Å³ per atom) = 19.7
- energy relative to the elements (eV/atom) = -0.004
- raw total energy (eV per atom) = -5.1337
- energy relative to the lowest polymorph listed for this composition (meV/atom) = 43

=====

[3]
A geometry-optimized Al structure, computed with GGA-PBE.

```
data_Al
_cell_length_a 2.8065
_cell_length_b 2.8065
_cell_length_c 2.8065
_cell_angle_alpha 109.47
_cell_angle_beta 109.47
_cell_angle_gamma 109.47
_symmetry_space_group_name_H-M 'P 1'
_symmetry_Int_Tables_number 1
_symmetry_space_group_name_Hall 'P 1'
loop_
_atom_site_label
_atom_site_type_symbol
_atom_site_fract_x
_atom_site_fract_y
_atom_site_fract_z
Al1 Al 0.0000 0.0000 0.0000
```

Summary:
- spin magnetization (Bohr magnetons per cell) = 0.000
- calculated volume (Å³ per atom) = 17.0
- energy relative to the elements (eV/atom) = 0.077
- raw total energy (eV per atom) = -3.6658
- energy relative to the lowest polymorph listed for this composition (meV/atom) = 77

=====

[4]
A geometry-optimized Al structure, computed with GGA-PBE.

```
data_Al
_cell_length_a 5.6543
_cell_length_b 9.5942
_cell_length_c 11.0590
_cell_angle_alpha 90.00
_cell_angle_beta 90.00
_cell_angle_gamma 90.00
_symmetry_space_group_name_H-M 'P 1'
_symmetry_Int_Tables_number 1
_symmetry_space_group_name_Hall 'P 1'
loop_
_atom_site_label
_atom_site_type_symbol
_atom_site_fract_x
_atom_site_fract_y
_atom_site_fract_z
Al1 Al 0.7500 0.0000 0.0000
Al2 Al 0.2500 0.0000 0.0000
Al3 Al 0.5000 0.7500 0.2500
Al4 Al 0.0000 0.7500 0.2500
Al5 Al 0.7500 0.5000 0.5000
Al6 Al 0.2500 0.5000 0.5000
Al7 Al 0.5000 0.2500 0.7500
Al8 Al 0.0000 0.2500 0.7500
Al9 Al 0.2500 0.0000 0.5000
Al10 Al 0.7500 0.0000 0.5000
Al11 Al 0.0000 0.7500 0.7500
Al12 Al 0.5000 0.7500 0.7500
Al13 Al 0.2500 0.5000 0.0000
Al14 Al 0.7500 0.5000 0.0000
Al15 Al 0.0000 0.2500 0.2500
Al16 Al 0.5000 0.2500 0.2500
Al17 Al 0.0000 0.7500 0.0000
Al18 Al 0.0000 0.2500 0.0000
Al19 Al 0.2500 0.0000 0.2500
Al20 Al 0.2500 0.5000 0.2500
Al21 Al 0.0000 0.2500 0.5000
Al22 Al 0.0000 0.7500 0.5000
Al23 Al 0.2500 0.5000 0.7500
Al24 Al 0.2500 0.0000 0.7500
Al25 Al 0.5000 0.7500 0.5000
Al26 Al 0.5000 0.2500 0.5000
Al27 Al 0.7500 0.0000 0.7500
Al28 Al 0.7500 0.5000 0.7500
Al29 Al 0.5000 0.2500 0.0000
Al30 Al 0.5000 0.7500 0.0000
Al31 Al 0.7500 0.5000 0.2500
Al32 Al 0.7500 0.0000 0.2500
```

Summary:
- spin magnetization (Bohr magnetons per cell) = 0.000
- calculated volume (Å³ per atom) = 18.7
- energy relative to the elements (eV/atom) = 0.210
- raw total energy (eV per atom) = -3.5326
- energy relative to the lowest polymorph listed for this composition (meV/atom) = 210

=====

[5]
A geometry-optimized Al structure, computed with GGA-PBE.

```
data_Al
_cell_length_a 6.3159
_cell_length_b 6.3159
_cell_length_c 7.0772
_cell_angle_alpha 116.52
_cell_angle_beta 116.52
_cell_angle_gamma 90.00
_symmetry_space_group_name_H-M 'P 1'
_symmetry_Int_Tables_number 1
_symmetry_space_group_name_Hall 'P 1'
loop_
_atom_site_label
_atom_site_type_symbol
_atom_site_fract_x
_atom_site_fract_y
_atom_site_fract_z
Al1 Al 0.2506 0.2494 0.5000
Al2 Al 0.7494 0.7506 0.5000
Al3 Al 0.0000 0.0000 0.0000
Al4 Al 0.5000 0.5000 0.0000
Al5 Al 0.2851 0.7851 0.2649
Al6 Al 0.4795 0.2865 0.2656
Al7 Al 0.7865 0.9795 0.2656
Al8 Al 0.5205 0.7136 0.7344
Al9 Al 0.2135 0.0205 0.7343
Al10 Al 0.0212 0.5212 0.7337
Al11 Al 0.7149 0.2149 0.7351
Al12 Al 0.9788 0.4788 0.2663
```

Summary:
- spin magnetization (Bohr magnetons per cell) = 0.000
- calculated volume (Å³ per atom) = 18.2
- energy relative to the elements (eV/atom) = 0.123
- raw total energy (eV per atom) = -3.6192
- energy relative to the lowest polymorph listed for this composition (meV/atom) = 123

=====

[6]
A geometry-optimized Al structure, computed with GGA-PBE.

```
data_Al
_cell_length_a 12.0571
_cell_length_b 12.0012
_cell_length_c 12.0708
_cell_angle_alpha 82.93
_cell_angle_beta 83.58
_cell_angle_gamma 83.82
_symmetry_space_group_name_H-M 'P 1'
_symmetry_Int_Tables_number 1
_symmetry_space_group_name_Hall 'P 1'
loop_
_atom_site_label
_atom_site_type_symbol
_atom_site_fract_x
_atom_site_fract_y
_atom_site_fract_z
Al1 Al 0.0550 0.5409 0.8533
Al2 Al 0.3979 0.5467 0.1517
Al3 Al 0.4876 0.3794 0.5088
Al4 Al 0.3861 0.1699 0.8977
Al5 Al 0.7542 0.2125 0.2698
Al6 Al 0.5896 0.0675 0.8143
Al7 Al 0.0470 0.6274 0.4223
Al8 Al 0.3932 0.3615 0.0192
Al9 Al 0.8141 0.6327 0.5003
Al10 Al 0.0915 0.9240 0.0855
Al11 Al 0.2217 0.9650 0.2451
Al12 Al 0.6021 0.8570 0.7596
Al13 Al 0.6735 0.0868 0.5743
Al14 Al 0.2849 0.5081 0.4312
Al15 Al 0.0119 0.1387 0.8236
Al16 Al 0.4991 0.9673 0.5447
Al17 Al 0.2409 0.7118 0.5506
Al18 Al 0.3058 0.2552 0.4848
Al19 Al 0.8720 0.9028 0.1604
Al20 Al 0.9194 0.8314 0.3761
Al21 Al 0.4566 0.3861 0.7753
Al22 Al 0.5594 0.3976 0.2814
Al23 Al 0.3127 0.9542 0.0175
Al24 Al 0.3899 0.8356 0.4281
Al25 Al 0.1726 0.3358 0.1067
Al26 Al 0.8945 0.0122 0.4959
Al27 Al 0.9341 0.9278 0.9231
Al28 Al 0.1658 0.5158 0.2412
Al29 Al 0.9305 0.4762 0.3295
Al30 Al 0.4543 0.1821 0.6545
Al31 Al 0.2840 0.3910 0.6450
Al32 Al 0.3935 0.9695 0.7860
Al33 Al 0.8346 0.7095 0.0514
Al34 Al 0.0644 0.3341 0.6994
Al35 Al 0.2548 0.9442 0.6214
Al36 Al 0.8902 0.7404 0.8251
Al37 Al 0.4259 0.8176 0.1976
Al38 Al 0.5346 0.2230 0.1689
Al39 Al 0.7339 0.8530 0.5568
Al40 Al 0.8034 0.6901 0.2739
Al41 Al 0.2305 0.5441 0.9953
Al42 Al 0.4982 0.0060 0.2817
Al43 Al 0.6001 0.4489 0.0493
Al44 Al 0.1169 0.9090 0.4546
Al45 Al 0.5922 0.2501 0.9398
Al46 Al 0.1617 0.9534 0.8522
Al47 Al 0.4201 0.7738 0.6733
Al48 Al 0.4535 0.5856 0.5762
Al49 Al 0.8645 0.5612 0.7148
Al50 Al 0.1035 0.3819 0.4559
Al51 Al 0.0060 0.3271 0.9525
Al52 Al 0.6073 0.6463 0.1468
Al53 Al 0.8886 0.4014 0.5606
Al54 Al 0.7175 0.9901 0.3527
Al55 Al 0.8491 0.3317 0.7975
Al56 Al 0.6606 0.2636 0.7074
Al57 Al 0.9899 0.0486 0.2760
Al58 Al 0.4637 0.6224 0.3455
Al59 Al 0.2978 0.7597 0.8761
Al60 Al 0.2254 0.3550 0.8701
Al61 Al 0.0672 0.7289 0.9698
Al62 Al 0.6525 0.8567 0.1840
Al63 Al 0.0231 0.9656 0.6791
Al64 Al 0.9404 0.1116 0.0564
Al65 Al 0.3090 0.0565 0.4141
Al66 Al 0.7827 0.2924 0.0369
Al67 Al 0.4576 0.5791 0.9006
Al68 Al 0.4844 0.7912 0.9776
Al69 Al 0.2863 0.5748 0.7596
Al70 Al 0.2337 0.1595 0.7300
Al71 Al 0.7777 0.4641 0.1782
Al72 Al 0.9333 0.2338 0.4116
Al73 Al 0.7130 0.2986 0.4681
Al74 Al 0.7874 0.1193 0.8834
Al75 Al 0.9573 0.7671 0.5968
Al76 Al 0.5184 0.0189 0.0437
Al77 Al 0.6712 0.6695 0.9049
Al78 Al 0.8015 0.9529 0.7303
Al79 Al 0.0999 0.5503 0.6268
Al80 Al 0.1494 0.1990 0.3063
Al81 Al 0.2520 0.7341 0.1012
Al82 Al 0.1225 0.7569 0.7436
Al83 Al 0.3308 0.1459 0.1422
Al84 Al 0.1084 0.1448 0.5452
Al85 Al 0.6611 0.4690 0.5975
Al86 Al 0.8369 0.5070 0.9476
Al87 Al 0.8777 0.1718 0.6431
Al88 Al 0.1648 0.1437 0.9874
Al89 Al 0.6550 0.4648 0.8234
Al90 Al 0.6128 0.7661 0.4158
Al91 Al 0.0009 0.5198 0.0930
Al92 Al 0.9604 0.2895 0.1860
Al93 Al 0.6777 0.5300 0.3775
Al94 Al 0.7055 0.8954 0.9516
Al95 Al 0.7131 0.0758 0.1127
Al96 Al 0.6338 0.6645 0.6753
Al97 Al 0.5294 0.1771 0.4072
Al98 Al 0.0295 0.7146 0.2009
Al99 Al 0.3355 0.3385 0.2632
Al100 Al 0.2324 0.7308 0.3236
```

Summary:
- spin magnetization (Bohr magnetons per cell) = 0.000
- calculated volume (Å³ per atom) = 17.1
- energy relative to the elements (eV/atom) = 0.055
- raw total energy (eV per atom) = -3.6874
- energy relative to the lowest polymorph listed for this composition (meV/atom) = 55

=====

[7]
A geometry-optimized Al structure, computed with GGA-PBE.

```
data_Al
_cell_length_a 7.4118
_cell_length_b 7.4118
_cell_length_c 7.4118
_cell_angle_alpha 90.00
_cell_angle_beta 90.00
_cell_angle_gamma 90.00
_symmetry_space_group_name_H-M 'P 1'
_symmetry_Int_Tables_number 1
_symmetry_space_group_name_Hall 'P 1'
loop_
_atom_site_label
_atom_site_type_symbol
_atom_site_fract_x
_atom_site_fract_y
_atom_site_fract_z
Al1 Al 0.2500 0.0000 0.5000
Al2 Al 0.7500 0.0000 0.5000
Al3 Al 0.0000 0.5000 0.2500
Al4 Al 0.0000 0.5000 0.7500
Al5 Al 0.5000 0.2500 0.0000
Al6 Al 0.5000 0.7500 0.0000
Al7 Al 0.0000 0.7500 0.5000
Al8 Al 0.0000 0.2500 0.5000
Al9 Al 0.7500 0.5000 0.0000
Al10 Al 0.2500 0.5000 0.0000
Al11 Al 0.5000 0.0000 0.7500
Al12 Al 0.5000 0.0000 0.2500
```

Summary:
- spin magnetization (Bohr magnetons per cell) = 0.000
- calculated volume (Å³ per atom) = 33.9
- energy relative to the elements (eV/atom) = 0.798
- raw total energy (eV per atom) = -2.9445
- energy relative to the lowest polymorph listed for this composition (meV/atom) = 798

=====

[8]
A geometry-optimized Al structure, computed with GGA-PBE.

```
data_Al
_cell_length_a 2.7863
_cell_length_b 7.9171
_cell_length_c 7.9171
_cell_angle_alpha 120.00
_cell_angle_beta 90.00
_cell_angle_gamma 90.00
_symmetry_space_group_name_H-M 'P 1'
_symmetry_Int_Tables_number 1
_symmetry_space_group_name_Hall 'P 1'
loop_
_atom_site_label
_atom_site_type_symbol
_atom_site_fract_x
_atom_site_fract_y
_atom_site_fract_z
Al1 Al 0.5000 0.3333 0.6667
Al2 Al 0.0000 0.0000 0.0000
Al3 Al 0.5000 0.6667 0.3333
Al4 Al 0.0000 0.3670 0.3670
Al5 Al 0.0000 0.6330 0.0000
Al6 Al 0.0000 0.0000 0.6330
Al7 Al 0.5000 0.3019 0.0000
Al8 Al 0.5000 0.0000 0.3019
Al9 Al 0.5000 0.6981 0.6981
```

Summary:
- spin magnetization (Bohr magnetons per cell) = 0.000
- calculated volume (Å³ per atom) = 16.8
- energy relative to the elements (eV/atom) = 0.042
- raw total energy (eV per atom) = -3.7002
- energy relative to the lowest polymorph listed for this composition (meV/atom) = 42

=====

[9]
A geometry-optimized Al structure, computed with GGA-PBE.

```
data_Al
_cell_length_a 2.8501
_cell_length_b 2.8501
_cell_length_c 9.3840
_cell_angle_alpha 90.00
_cell_angle_beta 90.00
_cell_angle_gamma 120.00
_symmetry_space_group_name_H-M 'P 1'
_symmetry_Int_Tables_number 1
_symmetry_space_group_name_Hall 'P 1'
loop_
_atom_site_label
_atom_site_type_symbol
_atom_site_fract_x
_atom_site_fract_y
_atom_site_fract_z
Al1 Al 0.0000 0.0000 0.0000
Al2 Al 0.3333 0.6667 0.2500
Al3 Al 0.0000 0.0000 0.5000
Al4 Al 0.6667 0.3333 0.7500
```

Summary:
- spin magnetization (Bohr magnetons per cell) = 0.000
- calculated volume (Å³ per atom) = 16.5
- energy relative to the elements (eV/atom) = 0.000
- raw total energy (eV per atom) = -3.7426
- energy relative to the lowest polymorph listed for this composition (meV/atom) = 0

=====

[10]
A geometry-optimized Al structure, computed with GGA-PBE.

```
data_Al
_cell_length_a 9.2381
_cell_length_b 9.2381
_cell_length_c 4.7272
_cell_angle_alpha 90.00
_cell_angle_beta 90.00
_cell_angle_gamma 90.00
_symmetry_space_group_name_H-M 'P 1'
_symmetry_Int_Tables_number 1
_symmetry_space_group_name_Hall 'P 1'
loop_
_atom_site_label
_atom_site_type_symbol
_atom_site_fract_x
_atom_site_fract_y
_atom_site_fract_z
Al1 Al 0.6003 0.1003 0.0000
Al2 Al 0.6003 0.8997 0.5000
Al3 Al 0.3997 0.1003 0.5000
Al4 Al 0.3997 0.8997 0.0000
Al5 Al 0.8997 0.3997 0.5000
Al6 Al 0.8997 0.6003 0.0000
Al7 Al 0.1003 0.3997 0.0000
Al8 Al 0.1003 0.6003 0.5000
Al9 Al 0.8062 0.3062 0.0000
Al10 Al 0.8062 0.6938 0.5000
Al11 Al 0.1938 0.3062 0.5000
Al12 Al 0.1938 0.6938 0.0000
Al13 Al 0.6938 0.1938 0.5000
Al14 Al 0.6938 0.8062 0.0000
Al15 Al 0.3062 0.1938 0.0000
Al16 Al 0.3062 0.8062 0.5000
```

Summary:
- spin magnetization (Bohr magnetons per cell) = 0.000
- calculated volume (Å³ per atom) = 25.2
- energy relative to the elements (eV/atom) = 0.377
- raw total energy (eV per atom) = -3.3655
- energy relative to the lowest polymorph listed for this composition (meV/atom) = 377